# 1
Computed, not measured: a relaxed structure of GaBTe2 at the PBE level of DFT.

DFT total energy (eV/atom): -3.748
D(E_F) (states/eV per atom): 0.000
ΔE_f (raw) (eV per atom): 0.25
Energy above the lowest structure with this stoichiometry (eV per atom): 0.000
Total moment (Bohr magnetons per cell): 0.00

Cell: 7.012 7.012 6.486 Å, 57.28 57.28 90.00°
Fractional positions:
1 B 0.500 0.500 0.000
2 B 0.250 0.750 0.500
3 Te 0.528 0.125 0.250
4 Te 0.222 0.625 0.250
5 Te 0.375 0.472 0.750
6 Te 0.875 0.778 0.750
7 Ga 0.000 0.000 0.000
8 Ga 0.750 0.250 0.500

***

# 2
Computed, not measured: a relaxed structure of TaRuAu2 at the PBE level of DFT.

DFT total energy (eV/atom): -6.823
D(E_F) (states/eV per atom): 0.871
Energy above the lowest structure with this stoichiometry (eV per atom): 0.175
DFT formation energy (kJ/mol of formula units): 38
Total moment (Bohr magnetons per cell): 0.00

Cell: 4.232 2.911 6.156 Å, 61.78 90.00 90.00°
Fractional positions:
1 Au 0.000 0.998 0.002
2 Au 0.000 0.502 0.498
3 Ru 0.500 0.250 0.250
4 Ta 0.500 0.750 0.750

***

# 3
Computed, not measured: a relaxed structure of Ac6InIr3 at the PBE level of DFT.

DFT total energy (eV/atom): -5.961
D(E_F) (states/eV per atom): 0.615
DFT formation energy (kJ/mol of formula units): -544
Total moment (Bohr magnetons per cell): 0.00

Cell: 4.406 12.705 13.009 Å, 107.73 90.00 90.00°
Fractional positions:
1 Ac 0.750 0.475 0.612
2 Ac 0.250 0.525 0.388
3 Ac 0.750 0.922 0.083
4 Ac 0.250 0.078 0.917
5 Ac 0.750 0.390 0.052
6 Ac 0.250 0.610 0.948
7 Ac 0.750 0.704 0.258
8 Ac 0.250 0.296 0.742
9 Ac 0.750 0.149 0.470
10 Ac 0.250 0.851 0.530
11 Ac 0.750 0.791 0.762
12 Ac 0.250 0.209 0.238
13 In 0.750 0.052 0.697
14 In 0.250 0.948 0.303
15 Ir 0.750 0.455 0.838
16 Ir 0.250 0.545 0.162
17 Ir 0.750 0.679 0.493
18 Ir 0.250 0.321 0.507
19 Ir 0.750 0.157 0.082
20 Ir 0.250 0.843 0.918

***

# 4
Computed, not measured: a relaxed structure of TbMg3Pd4 at the PBE level of DFT.

DFT total energy (eV/atom): -4.530
D(E_F) (states/eV per atom): 0.386
DFT formation energy (kJ/mol of formula units): -584
Total moment (Bohr magnetons per cell): 0.00

Cell: 4.681 6.473 9.360 Å, 90.00 90.00 90.00°
Fractional positions:
1 Mg 0.000 0.000 0.000
2 Mg 0.000 0.000 0.500
3 Mg 0.501 0.000 0.750
4 Mg 0.499 0.000 0.250
5 Mg 0.500 0.500 0.750
6 Mg 0.500 0.500 0.250
7 Tb 0.000 0.500 0.000
8 Tb 0.000 0.500 0.500
9 Pd 0.500 0.765 0.000
10 Pd 0.500 0.765 0.500
11 Pd 0.500 0.235 0.000
12 Pd 0.500 0.235 0.500
13 Pd 0.001 0.765 0.750
14 Pd 0.999 0.765 0.250
15 Pd 0.999 0.235 0.250
16 Pd 0.001 0.235 0.750

***

# 5
Computed, not measured: a relaxed structure of KSb2H2 at the PBE level of DFT.

DFT total energy (eV/atom): -2.767
D(E_F) (states/eV per atom): 0.621
Energy above the lowest structure with this stoichiometry (eV per atom): 0.487
Total moment (Bohr magnetons per cell): 0.00

Cell: 7.989 7.989 3.444 Å, 90.00 90.00 90.00°
Fractional positions:
1 Sb 0.122 0.622 0.500
2 Sb 0.622 0.878 0.500
3 Sb 0.878 0.378 0.500
4 Sb 0.378 0.122 0.500
5 K 0.000 0.000 0.000
6 K 0.500 0.500 0.000
7 H 0.408 0.908 0.000
8 H 0.908 0.592 0.000
9 H 0.592 0.092 0.000
10 H 0.092 0.408 0.000

***

# 6
Computed, not measured: a relaxed structure of Ho3AgRh at the PBE level of DFT.

DFT total energy (eV/atom): -5.274
D(E_F) (states/eV per atom): 0.771
DFT formation energy (kJ/mol of formula units): -235
Total moment (Bohr magnetons per cell): 0.00

Cell: 5.532 6.322 8.493 Å, 111.99 80.01 117.62°
Fractional positions:
1 Ho 0.500 0.809 0.117
2 Ho 0.146 0.419 0.717
3 Ho 0.853 0.796 0.719
4 Ho 0.147 0.204 0.281
5 Ho 0.500 0.191 0.883
6 Ho 0.854 0.581 0.283
7 Ag 0.586 0.238 0.499
8 Ag 0.414 0.762 0.501
9 Rh 0.000 0.751 0.003
10 Rh 0.000 0.249 0.997